1.
This record from Alexandria describes crystalline KLaSm4S8 at its relaxed geometry. The functional is PBE.

Calculated values
magnetization: 0.000 μB/atom
calculated volume: 30.321 A^3/atom
formation energy without anion corrections: -1.94 eV per atom
Fermi-level density of states: 0.0 states/eV/f.u.

```
data_KLaSm4S8
_symmetry_space_group_name_H-M 'R 3 m'
_symmetry_Int_Tables_number 160
_symmetry_space_group_name_Hall 'R 3 -2"'
_cell_length_a 8.3794
_cell_length_b 8.3794
_cell_length_c 20.9428
_cell_angle_alpha 90.00
_cell_angle_beta 90.00
_cell_angle_gamma 120.00
loop_
_atom_site_label
_atom_site_type_symbol
_atom_site_fract_x
_atom_site_fract_y
_atom_site_fract_z
_atom_site_occupancy
K1 K 0.0000 0.0000 0.0000 1
La1 La 0.0000 0.0000 0.6306 1
Sm1 Sm 0.0000 0.0000 0.2526 1
Sm2 Sm 0.1722 0.3443 0.4590 1
S1 S 0.0000 0.0000 0.3842 1
S2 S 0.0000 0.0000 0.8604 1
S3 S 0.0406 0.5203 0.3848 1
S4 S 0.1747 0.3493 0.2062 1
```


2.
This record from Alexandria describes crystalline Rh3Pb2 at its relaxed geometry. The functional is PBE.

Calculated values
magnetization: 0.000 μB/atom
calculated volume: 18.338 A^3/atom
Fermi-level density of states: 5.7 states/eV/f.u.
calculated formation energy: 91.2 meV/atom

```
data_Rh3Pb2
_symmetry_space_group_name_H-M 'F d d 2'
_symmetry_Int_Tables_number 43
_symmetry_space_group_name_Hall 'F 2 -2d'
_cell_length_a 9.545
_cell_length_b 13.508
_cell_length_c 5.689
_cell_angle_alpha 90.00
_cell_angle_beta 90.00
_cell_angle_gamma 90.00
loop_
_atom_site_label
_atom_site_type_symbol
_atom_site_fract_x
_atom_site_fract_y
_atom_site_fract_z
_atom_site_occupancy
Rh1 Rh 0.000 0.000 0.000 1
Rh2 Rh 0.058 0.396 0.096 1
Pb1 Pb 0.054 0.301 0.613 1
```


3.
This record from Alexandria describes crystalline CrCuAs2 at its relaxed geometry. The functional is PBE.

Calculated values
magnetization: 0.792 μB/atom
calculated volume: 15.536 A^3/atom
Fermi-level density of states: 2.2 states/eV/f.u.
calculated formation energy: 157.6 meV/atom

```
data_CrCuAs2
_symmetry_space_group_name_H-M 'P 4/m m m'
_symmetry_Int_Tables_number 123
_symmetry_space_group_name_Hall '-P 4 2'
_cell_length_a 4.246
_cell_length_b 4.246
_cell_length_c 3.447
_cell_angle_alpha 90.00
_cell_angle_beta 90.00
_cell_angle_gamma 90.00
loop_
_atom_site_label
_atom_site_type_symbol
_atom_site_fract_x
_atom_site_fract_y
_atom_site_fract_z
_atom_site_occupancy
Cr1 Cr 0.000 0.000 0.000 1
Cu1 Cu 0.500 0.500 0.000 1
As1 As 0.000 0.500 0.500 1
```


4.
This record from Alexandria describes crystalline Li8Mg3Zn2 at its relaxed geometry. The functional is PBE.

Calculated values
magnetization: 0.000 μB/atom
calculated volume: 20.089 A^3/atom
Fermi-level density of states: 4.5 states/eV/f.u.
calculated formation energy: 15.0 meV/atom

```
data_Li8Mg3Zn2
_symmetry_space_group_name_H-M 'C m m m'
_symmetry_Int_Tables_number 65
_symmetry_space_group_name_Hall '-C 2 2'
_cell_length_a 7.428
_cell_length_b 14.672
_cell_length_c 4.792
_cell_angle_alpha 90.00
_cell_angle_beta 90.00
_cell_angle_gamma 90.00
loop_
_atom_site_label
_atom_site_type_symbol
_atom_site_fract_x
_atom_site_fract_y
_atom_site_fract_z
_atom_site_occupancy
Li1 Li 0.000 0.123 0.000 1
Li2 Li 0.000 0.310 0.000 1
Li3 Li 0.189 0.375 0.500 1
Mg1 Mg 0.000 0.000 0.500 1
Mg2 Mg 0.197 0.500 0.000 1
Zn1 Zn 0.000 0.213 0.500 1
```


5.
This record from Alexandria describes crystalline PuTi5 at its relaxed geometry. The functional is PBE.

Calculated values
magnetization: 0.841 μB/atom
calculated volume: 17.903 A^3/atom
Fermi-level density of states: 9.0 states/eV/f.u.
calculated formation energy: 60.8 meV/atom

```
data_PuTi5
_symmetry_space_group_name_H-M 'C m m m'
_symmetry_Int_Tables_number 65
_symmetry_space_group_name_Hall '-C 2 2'
_cell_length_a 4.164
_cell_length_b 12.373
_cell_length_c 4.170
_cell_angle_alpha 90.00
_cell_angle_beta 90.00
_cell_angle_gamma 90.00
loop_
_atom_site_label
_atom_site_type_symbol
_atom_site_fract_x
_atom_site_fract_y
_atom_site_fract_z
_atom_site_occupancy
Pu1 Pu 0.000 0.000 0.000 1
Ti1 Ti 0.000 0.169 0.500 1
Ti2 Ti 0.000 0.332 0.000 1
Ti3 Ti 0.000 0.500 0.500 1
```


6.
This record from Alexandria describes crystalline NaSc2Re at its relaxed geometry. The functional is PBE.

Calculated values
magnetization: 0.000 μB/atom
energy above the most stable polymorph in this dataset: 46 meV per atom
calculated volume: 19.371 A^3/atom
Fermi-level density of states: 1.4 states/eV/f.u.
calculated formation energy: 277.4 meV/atom

```
data_NaSc2Re
_symmetry_space_group_name_H-M 'F m -3 m'
_symmetry_Int_Tables_number 225
_symmetry_space_group_name_Hall '-F 4 2 3'
_cell_length_a 6.767
_cell_length_b 6.767
_cell_length_c 6.767
_cell_angle_alpha 90.00
_cell_angle_beta 90.00
_cell_angle_gamma 90.00
loop_
_atom_site_label
_atom_site_type_symbol
_atom_site_fract_x
_atom_site_fract_y
_atom_site_fract_z
_atom_site_occupancy
Na1 Na 0.000 0.000 0.000 1
Sc1 Sc 0.250 0.250 0.250 1
Re1 Re 0.000 0.000 0.500 1
```